Record 1
! GaReBrO2 (GGA-PBEsol, optimized geometry); values from VASP
! * SG: P4/mmm, No. 123
! * raw formation energy: 476.8 meV/atom
&SYSTEM
  ibrav = 0, nat = 5, ntyp = 4
/
ATOMIC_SPECIES
Ga 69.72 Ga.upf
Re 186.21 Re.upf
Br 79.90 Br.upf
O 16.00 O.upf
CELL_PARAMETERS angstrom
3.7265 0.0000 0.0000
0.0000 3.7265 0.0000
0.0000 0.0000 5.6226
ATOMIC_POSITIONS crystal
Ga 0.0000 0.0000 0.0000
Re 0.0000 0.0000 0.5000
Br 0.5000 0.5000 0.5000
O 0.0000 0.5000 0.0000
O 0.5000 0.0000 0.0000

Record 2
! GaOs3Br (GGA-PBEsol, optimized geometry); values from VASP
! * SG: Pm-3m, No. 221
! * raw formation energy: 2462.3 meV/atom
&SYSTEM
  ibrav = 0, nat = 5, ntyp = 3
/
ATOMIC_SPECIES
Ga 69.72 Ga.upf
Os 190.23 Os.upf
Br 79.90 Br.upf
CELL_PARAMETERS angstrom
4.5649 0.0000 0.0000
0.0000 4.5649 0.0000
0.0000 0.0000 4.5649
ATOMIC_POSITIONS crystal
Ga 0.0000 0.0000 0.0000
Os 0.0000 0.0000 0.5000
Os 0.0000 0.5000 0.0000
Os 0.5000 0.0000 0.0000
Br 0.5000 0.5000 0.5000

Record 3
! GaOsBr2 (GGA-PBEsol, optimized geometry); values from VASP
! * SG: R-3m, No. 166
! * raw formation energy: 600.2 meV/atom
&SYSTEM
  ibrav = 0, nat = 4, ntyp = 3
/
ATOMIC_SPECIES
Ga 69.72 Ga.upf
Os 190.23 Os.upf
Br 79.90 Br.upf
CELL_PARAMETERS angstrom
1.8457 1.0656 8.8121
-1.8457 1.0656 8.8121
0.0000 -2.1312 8.8121
ATOMIC_POSITIONS crystal
Ga 0.0000 0.0000 0.0000
Os 0.5000 0.5000 0.5000
Br 0.1176 0.1176 0.1176
Br 0.8824 0.8824 0.8824

Record 4
! GaOsSe2Br (GGA-PBEsol, optimized geometry); values from VASP
! * SG: P4/mmm, No. 123
! * raw formation energy: 358.7 meV/atom
&SYSTEM
  ibrav = 0, nat = 5, ntyp = 4
/
ATOMIC_SPECIES
Ga 69.72 Ga.upf
Os 190.23 Os.upf
Se 78.96 Se.upf
Br 79.90 Br.upf
CELL_PARAMETERS angstrom
4.7436 0.0000 0.0000
0.0000 4.7436 0.0000
0.0000 0.0000 5.4116
ATOMIC_POSITIONS crystal
Ga 0.0000 0.0000 0.0000
Os 0.5000 0.5000 0.5000
Se 0.0000 0.5000 0.5000
Se 0.5000 0.0000 0.5000
Br 0.5000 0.5000 0.0000

Record 5
! Ga3PBr (GGA-PBEsol, optimized geometry); values from VASP
! * SG: Pm-3m, No. 221
! * raw formation energy: 167.3 meV/atom
&SYSTEM
  ibrav = 0, nat = 5, ntyp = 3
/
ATOMIC_SPECIES
Ga 69.72 Ga.upf
P 30.97 P.upf
Br 79.90 Br.upf
CELL_PARAMETERS angstrom
4.9576 0.0000 0.0000
0.0000 4.9576 0.0000
0.0000 0.0000 4.9576
ATOMIC_POSITIONS crystal
Ga 0.0000 0.0000 0.5000
Ga 0.0000 0.5000 0.0000
Ga 0.5000 0.0000 0.0000
P 0.0000 0.0000 0.0000
Br 0.5000 0.5000 0.5000

Record 6
! Ga2PBr (GGA-PBEsol, optimized geometry); values from VASP
! * SG: Fm-3m, No. 225
! * raw formation energy: 129.1 meV/atom
&SYSTEM
  ibrav = 0, nat = 4, ntyp = 3
/
ATOMIC_SPECIES
Ga 69.72 Ga.upf
P 30.97 P.upf
Br 79.90 Br.upf
CELL_PARAMETERS angstrom
0.0000 3.3725 3.3725
3.3725 0.0000 3.3725
3.3725 3.3725 0.0000
ATOMIC_POSITIONS crystal
Ga 0.2500 0.2500 0.2500
Ga 0.7500 0.7500 0.7500
P 0.0000 0.0000 0.0000
Br 0.5000 0.5000 0.5000